# 1
# Ba2CaInRh

Ba2CaInRh after structural relaxation (GGA-PBE, the Alexandria database).

Unit cell a=6.0206 b=6.0206 c=5.4722 alpha=90.00 beta=90.00 gamma=90.00
Closest atoms and distances in Å follow each position.
Atoms (fractional coordinates):
Rh 0.0000 0.0000 0.0000  2 Ca 2.74, 4 Ba 3.01
Ba 0.5000 0.0000 0.0000  2 Rh 3.01
Ca 0.0000 0.0000 0.5000  2 Rh 2.74
Ba 0.0000 0.5000 0.0000  2 Rh 3.01
In 0.5000 0.5000 0.5000  8 Ba 4.07, 4 Ca 4.26

Calculated values
For the density of states at the Fermi level, the calculation gives 7.35 states/eV per cell. The energy above the most stable polymorph in this dataset is 0.000 eV per atom. The energy of formation from the pure elements is -0.182 eV per atom.

# 2
# Mg3PdPt6

Mg3PdPt6 after structural relaxation (GGA-PBE, the Alexandria database).

Unit cell a=4.5826 b=7.5137 c=10.1164 alpha=114.85 beta=90.00 gamma=90.00
Closest atoms and distances in Å follow each position.
Atoms (fractional coordinates):
Pt 0.2500 0.6627 0.6721  5 Mg 2.76-2.90, 6 Pt 2.79-2.86, 1 Pd 2.92
Pd 0.7500 0.0312 0.4344  2 Mg 2.75-2.81, 2 Pd 2.78, 8 Pt 2.79-2.92
Pt 0.7500 0.7369 0.5372  4 Mg 2.76-2.90, 5 Pt 2.78-2.86, 3 Pd 2.81-2.82
Mg 0.2500 0.5672 0.3774  9 Pt 2.76-2.93, 1 Pd 2.81, 2 Mg 2.94
Pt 0.7500 0.5335 0.9264  5 Pt 2.76-2.91, 7 Mg 2.79-2.88
Pt 0.2500 0.0588 0.8630  4 Mg 2.73-2.80, 7 Pt 2.79-2.91, 1 Pd 2.79
Mg 0.7500 0.2258 0.0261  11 Pt 2.74-2.88, 1 Mg 2.97
Pt 0.2500 0.1693 0.1662  8 Pt 2.76-2.83, 4 Mg 2.78-2.85
Mg 0.2500 0.3522 0.7708  8 Pt 2.73-2.90, 1 Pd 2.75, 3 Mg 2.94-2.97
Mg 0.7500 0.6478 0.2292  8 Pt 2.73-2.90, 1 Pd 2.75, 3 Mg 2.94-2.97
Mg 0.7500 0.4328 0.6226  9 Pt 2.76-2.93, 1 Pd 2.81, 2 Mg 2.94
Pt 0.2500 0.8697 0.2667  4 Mg 2.74-2.93, 5 Pt 2.78-2.83, 3 Pd 2.79-2.81
Pt 0.2500 0.2631 0.4628  4 Mg 2.76-2.90, 5 Pt 2.78-2.86, 3 Pd 2.81-2.82
Pt 0.7500 0.3373 0.3279  5 Mg 2.76-2.90, 6 Pt 2.79-2.86, 1 Pd 2.92
Mg 0.2500 0.7742 0.9739  11 Pt 2.74-2.88, 1 Mg 2.97
Pt 0.7500 0.9412 0.1370  4 Mg 2.73-2.80, 7 Pt 2.79-2.91, 1 Pd 2.79
Pd 0.2500 0.9688 0.5656  2 Mg 2.75-2.81, 2 Pd 2.78, 8 Pt 2.79-2.92
Pt 0.7500 0.8307 0.8338  8 Pt 2.76-2.83, 4 Mg 2.78-2.85
Pt 0.2500 0.4665 0.0736  5 Pt 2.76-2.91, 7 Mg 2.79-2.88
Pt 0.7500 0.1303 0.7333  4 Mg 2.74-2.93, 5 Pt 2.78-2.83, 3 Pd 2.79-2.81

Calculated values
For the density of states at the Fermi level, the calculation gives 14.08 states/eV per cell. The energy of formation from the pure elements is -0.569 eV per atom.

# 3
# PuCdH

PuCdH after structural relaxation (GGA-PBE, the Alexandria database).

Unit cell a=3.3413 b=3.3413 c=5.7011 alpha=90.00 beta=90.00 gamma=120.00
Closest atoms and distances in Å follow each position.
Atoms (fractional coordinates):
Pu 0.6667 0.3333 0.4374  3 H 2.19
H 0.3333 0.6667 0.6178  3 Pu 2.19
Cd 0.0000 0.0000 0.9449  3 H 2.68

Calculated values
For the density of states at the Fermi level, the calculation gives 8.26 states/eV per cell. The energy above the most stable polymorph in this dataset is 0.202 eV per atom.

# 4
# Li2ReGe2

Li2ReGe2 after structural relaxation (GGA-PBE, the Alexandria database).

Unit cell a=6.7847 b=6.7847 c=3.1200 alpha=90.00 beta=90.00 gamma=90.00
Closest atoms and distances in Å follow each position.
Atoms (fractional coordinates):
Re 0.5000 0.5000 0.0000  4 Ge 2.58
Ge 0.8482 0.6518 0.0000  6 Li 2.45-2.58, 2 Re 2.58
Li 0.6514 0.8486 0.5000  6 Ge 2.45-2.58
Ge 0.6518 0.1518 0.0000  6 Li 2.45-2.58, 2 Re 2.58
Re 0.0000 0.0000 0.0000  4 Ge 2.58
Ge 0.3482 0.8482 0.0000  6 Li 2.45-2.58, 2 Re 2.58
Li 0.8486 0.3486 0.5000  6 Ge 2.45-2.58
Li 0.3486 0.1514 0.5000  6 Ge 2.45-2.58
Li 0.1514 0.6514 0.5000  6 Ge 2.45-2.58
Ge 0.1518 0.3482 0.0000  6 Li 2.45-2.58, 2 Re 2.58

Calculated values
For the density of states at the Fermi level, the calculation gives 4.75 states/eV per cell. The energy above the most stable polymorph in this dataset is 0.000 eV per atom. The energy of formation from the pure elements is 0.065 eV per atom.

# 5
# La3In6Pt5

La3In6Pt5 after structural relaxation (GGA-PBE, the Alexandria database).

Unit cell a=4.5391 b=10.0417 c=13.8918 alpha=90.00 beta=90.00 gamma=90.00
Closest atoms and distances in Å follow each position.
Atoms (fractional coordinates):
Pt 0.0000 0.8555 0.6557  5 In 2.75-2.95
Pt 0.5000 0.2081 0.5000  6 In 2.87-2.99, 2 Pt 2.90
Pt 0.5000 0.4493 0.6153  5 In 2.79-2.87, 1 Pt 2.90
La 0.0000 0.2459 0.2995  4 Pt 3.19-3.27, 8 In 3.19-3.51
Pt 0.0000 0.5507 0.8847  5 In 2.79-2.87, 1 Pt 2.90
In 0.0000 0.0339 0.5000  4 Pt 2.81-2.87, 4 In 3.12
In 0.0000 0.4015 0.5000  6 Pt 2.82-2.99, 2 In 3.10
In 0.5000 0.4159 0.8203  4 Pt 2.75-2.87
La 0.5000 0.7235 0.5000  6 Pt 3.19-3.40
Pt 0.5000 0.1445 0.8443  5 In 2.75-2.95
In 0.5000 0.0167 0.3467  4 Pt 2.79-2.95, 2 In 3.12
In 0.5000 0.0167 0.6533  4 Pt 2.79-2.95, 2 In 3.12
La 0.5000 0.7541 0.7995  4 Pt 3.19-3.27, 8 In 3.19-3.51
Pt 0.0000 0.7919 0.0000  6 In 2.87-2.99, 2 Pt 2.90
In 0.0000 0.9833 0.1533  4 Pt 2.79-2.95, 2 In 3.12
La 0.0000 0.2765 0.0000  6 Pt 3.19-3.40
In 0.0000 0.9833 0.8467  4 Pt 2.79-2.95, 2 In 3.12
Pt 0.5000 0.4493 0.3847  5 In 2.79-2.87, 1 Pt 2.90
In 0.5000 0.5985 0.0000  6 Pt 2.82-2.99, 2 In 3.10
In 0.0000 0.5841 0.6797  4 Pt 2.75-2.87
Pt 0.5000 0.1445 0.1557  5 In 2.75-2.95
Pt 0.0000 0.5507 0.1153  5 In 2.79-2.87, 1 Pt 2.90
In 0.5000 0.9661 0.0000  4 Pt 2.81-2.87, 4 In 3.12
La 0.0000 0.2459 0.7005  4 Pt 3.19-3.27, 8 In 3.19-3.51
In 0.0000 0.5841 0.3203  4 Pt 2.75-2.87
In 0.5000 0.4159 0.1797  4 Pt 2.75-2.87
Pt 0.0000 0.8555 0.3443  5 In 2.75-2.95
La 0.5000 0.7541 0.2005  4 Pt 3.19-3.27, 8 In 3.19-3.51

Calculated values
For the density of states at the Fermi level, the calculation gives 14.98 states/eV per cell. The energy of formation from the pure elements is -0.804 eV per atom.

# 6
# MgReSn2

MgReSn2 after structural relaxation (GGA-PBE, the Alexandria database).

Unit cell a=6.7434 b=6.7434 c=7.3640 alpha=62.75 beta=62.75 gamma=90.00
Closest atoms and distances in Å follow each position.
Atoms (fractional coordinates):
Re 0.7500 0.2500 0.5000  4 Sn 2.60
Mg 0.2500 0.7500 0.5000  4 Sn 2.95
Mg 0.5000 0.5000 0.0000  4 Sn 2.95
Sn 0.0813 0.6250 0.2500  2 Re 2.60
Sn 0.8750 0.9187 0.7500  2 Re 2.60
Sn 0.3750 0.3313 0.7500  2 Re 2.60
Sn 0.6687 0.1250 0.2500  2 Re 2.60
Re 0.0000 0.0000 0.0000  4 Sn 2.60

Calculated values
For the density of states at the Fermi level, the calculation gives 4.71 states/eV per cell. The energy of formation from the pure elements is 0.955 eV per atom.

# 7
# CsK2NaAs

CsK2NaAs after structural relaxation (GGA-PBE, the Alexandria database).

Unit cell a=6.5337 b=6.5337 c=6.7845 alpha=90.00 beta=90.00 gamma=90.00
Closest atoms and distances in Å follow each position.
Atoms (fractional coordinates):
Cs 0.0000 0.0000 0.5000  2 As 3.39
As 0.0000 0.0000 0.0000  4 K 3.27, 2 Cs 3.39
K 0.5000 0.0000 0.0000  2 As 3.27
K 0.0000 0.5000 0.0000  2 As 3.27
Na 0.5000 0.5000 0.5000  4 Cs 4.62, 8 K 4.71

Calculated values
For the density of states at the Fermi level, the calculation gives 5.11 states/eV per cell. The energy above the most stable polymorph in this dataset is 0.104 eV per atom. The energy of formation from the pure elements is -0.077 eV per atom.

# 8
# KYSb2

KYSb2 after structural relaxation (GGA-PBE, the Alexandria database).

Unit cell a=5.6966 b=5.6966 c=5.6966 alpha=125.43 beta=125.36 gamma=80.88
Closest atoms and distances in Å follow each position.
Atoms (fractional coordinates):
Y 0.7500 0.2500 0.5000  8 Sb 3.39-3.40, 4 K 3.70
K 0.2500 0.7500 0.5000  8 Sb 3.39-3.40, 4 Y 3.70
Sb 0.5001 0.5001 0.0000  4 Y 3.39-3.40, 4 K 3.39-3.40, 4 Sb 3.70
Sb 0.9999 0.9999 0.0000  4 Y 3.39-3.40, 4 K 3.39-3.40, 4 Sb 3.70

Calculated values
For the density of states at the Fermi level, the calculation gives 1.89 states/eV per cell. The energy above the most stable polymorph in this dataset is 0.187 eV per atom. The energy relative to the elements, uncorrected comes out at -0.4701 eV/atom.

# 9
# AcHoAgO4

AcHoAgO4 after structural relaxation (GGA-PBE, the Alexandria database).

Unit cell a=7.1096 b=7.2906 c=7.2906 alpha=67.75 beta=60.82 gamma=60.82
Closest atoms and distances in Å follow each position.
Atoms (fractional coordinates):
Ho 0.5000 0.0000 0.5000  6 O 2.29-2.30
Ag 0.4826 0.2674 0.7674  2 O 2.07
O 0.7698 0.7674 0.2674  1 Ag 2.07, 1 Ho 2.29
O 0.8046 0.2326 0.7326  1 Ag 2.07, 1 Ho 2.29
O 0.2409 0.1876 0.3306  2 Ho 2.30, 1 Ac 2.43
O 0.2409 0.8306 0.6876  2 Ho 2.30, 1 Ac 2.43
Ac 0.0000 0.0000 0.0000  6 O 2.43-2.54
O 0.1954 0.7674 0.2674  1 Ag 2.07, 1 Ho 2.29
Ac 0.0000 0.5000 0.5000  6 O 2.43-2.54
O 0.7591 0.8124 0.6694  2 Ho 2.30, 1 Ac 2.43
O 0.2302 0.2326 0.7326  1 Ag 2.07, 1 Ho 2.29
Ho 0.0000 0.0000 0.5000  6 O 2.29-2.30
O 0.7591 0.1694 0.3124  2 Ho 2.30, 1 Ac 2.43
Ag 0.5174 0.7326 0.2326  2 O 2.07

Calculated values
For the density of states at the Fermi level, the calculation gives 10.95 states/eV per cell. The energy relative to the elements, uncorrected comes out at -2.2701 eV/atom.

# 10
# Ni15Mo2Rh2

Ni15Mo2Rh2 after structural relaxation (GGA-PBE, the Alexandria database).

Unit cell a=6.1838 b=6.1838 c=6.1838 alpha=81.77 beta=81.77 gamma=81.77
Closest atoms and distances in Å follow each position.
Atoms (fractional coordinates):
Ni 0.8354 0.3538 0.3538  8 Ni 2.28-2.55
Ni 0.6462 0.1646 0.6462  8 Ni 2.28-2.55
Rh 0.8952 0.8952 0.8952  6 Ni 2.45-2.59, 1 Rh 2.54, 1 Mo 2.60
Ni 0.1646 0.6462 0.6462  8 Ni 2.28-2.55
Ni 0.0000 0.6863 0.3137  8 Ni 2.39-2.55
Ni 0.3137 0.6863 0.0000  8 Ni 2.39-2.55
Ni 0.6462 0.6462 0.1646  8 Ni 2.28-2.55
Ni 0.0000 0.0000 0.5000  8 Ni 2.39, 2 Rh 2.45
Ni 0.3538 0.3538 0.8354  8 Ni 2.28-2.55
Ni 0.6863 0.3137 0.0000  8 Ni 2.39-2.55
Ni 0.3538 0.8354 0.3538  8 Ni 2.28-2.55
Rh 0.1048 0.1048 0.1048  6 Ni 2.45-2.59, 1 Rh 2.54, 1 Mo 2.60
Mo 0.3187 0.3187 0.3187  1 Rh 2.60, 6 Ni 2.79
Ni 0.0000 0.3137 0.6863  8 Ni 2.39-2.55
Mo 0.6813 0.6813 0.6813  1 Rh 2.60, 6 Ni 2.79
Ni 0.3137 0.0000 0.6863  8 Ni 2.39-2.55
Ni 0.5000 0.0000 0.0000  8 Ni 2.39, 2 Rh 2.45
Ni 0.6863 0.0000 0.3137  8 Ni 2.39-2.55
Ni 0.0000 0.5000 0.0000  8 Ni 2.39, 2 Rh 2.45

Calculated values
For the density of states at the Fermi level, the calculation gives 27.96 states/eV per cell. The energy of formation from the pure elements is 0.169 eV per atom.

# 11
# Ce2PaSi

Ce2PaSi after structural relaxation (GGA-PBE, the Alexandria database).

Unit cell a=3.8117 b=3.8117 c=6.5201 alpha=90.00 beta=90.00 gamma=90.00
Closest atoms and distances in Å follow each position.
Atoms (fractional coordinates):
Si 0.5000 0.5000 0.5000  8 Ce 3.07, 2 Pa 3.26
Pa 0.5000 0.5000 0.0000  8 Ce 3.23, 2 Si 3.26
Ce 0.0000 0.0000 0.7261  1 Ce 2.95, 4 Si 3.07, 4 Pa 3.23
Ce 0.0000 0.0000 0.2739  1 Ce 2.95, 4 Si 3.07, 4 Pa 3.23

Calculated values
For the density of states at the Fermi level, the calculation gives 11.27 states/eV per cell. The energy above the most stable polymorph in this dataset is 0.081 eV per atom. The energy relative to the elements, uncorrected comes out at -0.1851 eV/atom.

# 12
# CaAc12Nd3

CaAc12Nd3 after structural relaxation (GGA-PBE, the Alexandria database).

Unit cell a=5.5616 b=5.5616 c=22.1807 alpha=90.00 beta=90.00 gamma=90.00
Closest atoms and distances in Å follow each position.
Atoms (fractional coordinates):
Ca 0.0000 0.0000 0.0000  12 Ac 3.93-3.98
Ac 0.5000 0.5000 0.5000  8 Ac 3.92, 4 Nd 3.93
Ac 0.5000 0.0000 0.1283  2 Nd 3.88, 8 Ac 3.89-3.98, 2 Ca 3.98
Ac 0.0000 0.5000 0.1283  2 Nd 3.88, 8 Ac 3.89-3.98, 2 Ca 3.98
Ac 0.5000 0.5000 0.2511  8 Ac 3.89-3.92, 4 Nd 3.93
Ac 0.0000 0.5000 0.6244  8 Ac 3.92-3.93, 4 Nd 3.92-3.93
Ac 0.5000 0.0000 0.6244  8 Ac 3.92-3.93, 4 Nd 3.92-3.93
Nd 0.0000 0.0000 0.5000  12 Ac 3.92-3.93
Ac 0.5000 0.5000 0.7489  8 Ac 3.89-3.92, 4 Nd 3.93
Ac 0.0000 0.5000 0.8717  2 Nd 3.88, 8 Ac 3.89-3.98, 2 Ca 3.98
Nd 0.0000 0.0000 0.7496  12 Ac 3.88-3.93
Nd 0.0000 0.0000 0.2504  12 Ac 3.88-3.93
Ac 0.0000 0.5000 0.3756  8 Ac 3.92-3.93, 4 Nd 3.92-3.93
Ac 0.5000 0.0000 0.3756  8 Ac 3.92-3.93, 4 Nd 3.92-3.93
Ac 0.5000 0.0000 0.8717  2 Nd 3.88, 8 Ac 3.89-3.98, 2 Ca 3.98
Ac 0.5000 0.5000 0.0000  4 Ca 3.93, 8 Ac 3.98

Calculated values
For the density of states at the Fermi level, the calculation gives 26.01 states/eV per cell. The energy of formation from the pure elements is 0.021 eV per atom.

Please write out number 12 again, unchanged.
# CaAc12Nd3

CaAc12Nd3 after structural relaxation (GGA-PBE, the Alexandria database).

Unit cell a=5.5616 b=5.5616 c=22.1807 alpha=90.00 beta=90.00 gamma=90.00
Closest atoms and distances in Å follow each position.
Atoms (fractional coordinates):
Ca 0.0000 0.0000 0.0000  12 Ac 3.93-3.98
Ac 0.5000 0.5000 0.5000  8 Ac 3.92, 4 Nd 3.93
Ac 0.5000 0.0000 0.1283  2 Nd 3.88, 8 Ac 3.89-3.98, 2 Ca 3.98
Ac 0.0000 0.5000 0.1283  2 Nd 3.88, 8 Ac 3.89-3.98, 2 Ca 3.98
Ac 0.5000 0.5000 0.2511  8 Ac 3.89-3.92, 4 Nd 3.93
Ac 0.0000 0.5000 0.6244  8 Ac 3.92-3.93, 4 Nd 3.92-3.93
Ac 0.5000 0.0000 0.6244  8 Ac 3.92-3.93, 4 Nd 3.92-3.93
Nd 0.0000 0.0000 0.5000  12 Ac 3.92-3.93
Ac 0.5000 0.5000 0.7489  8 Ac 3.89-3.92, 4 Nd 3.93
Ac 0.0000 0.5000 0.8717  2 Nd 3.88, 8 Ac 3.89-3.98, 2 Ca 3.98
Nd 0.0000 0.0000 0.7496  12 Ac 3.88-3.93
Nd 0.0000 0.0000 0.2504  12 Ac 3.88-3.93
Ac 0.0000 0.5000 0.3756  8 Ac 3.92-3.93, 4 Nd 3.92-3.93
Ac 0.5000 0.0000 0.3756  8 Ac 3.92-3.93, 4 Nd 3.92-3.93
Ac 0.5000 0.0000 0.8717  2 Nd 3.88, 8 Ac 3.89-3.98, 2 Ca 3.98
Ac 0.5000 0.5000 0.0000  4 Ca 3.93, 8 Ac 3.98

Calculated values
For the density of states at the Fermi level, the calculation gives 26.01 states/eV per cell. The energy of formation from the pure elements is 0.021 eV per atom.